1.
# SrFe2 | Alexandria via LeMat-Bulk | PBE | optimized geometry
# SG: I4_1/amd (141)
# Formation energy (eV/atom): 0.65
# V (Å³ per cell): 130.69
data_SrFe2
_symmetry_space_group_name_H-M 'P 1'
_symmetry_Int_Tables_number 1
_cell_length_a 7.615
_cell_length_b 7.615
_cell_length_c 7.615
_cell_angle_alpha 146.97
_cell_angle_beta 146.97
_cell_angle_gamma 47.41
loop_
_symmetry_equiv_pos_as_xyz
'x,y,z'
loop_
_atom_site_label
_atom_site_type_symbol
_atom_site_fract_x
_atom_site_fract_y
_atom_site_fract_z
Sr1 Sr 0.375 0.625 0.750
Sr2 Sr 0.625 0.375 0.250
Fe1 Fe 0.041 0.791 0.250
Fe2 Fe 0.209 0.959 0.250
Fe3 Fe 0.791 0.041 0.750
Fe4 Fe 0.959 0.209 0.750

2.
# SrFe4 | Alexandria via LeMat-Bulk | PBE | optimized geometry
# SG: Pm-3m (221)
# Formation energy (eV/atom): 2.47
# V (Å³ per cell): 100.29
data_SrFe4
_symmetry_space_group_name_H-M 'P 1'
_symmetry_Int_Tables_number 1
_cell_length_a 4.646
_cell_length_b 4.646
_cell_length_c 4.646
_cell_angle_alpha 90.00
_cell_angle_beta 90.00
_cell_angle_gamma 90.00
loop_
_symmetry_equiv_pos_as_xyz
'x,y,z'
loop_
_atom_site_label
_atom_site_type_symbol
_atom_site_fract_x
_atom_site_fract_y
_atom_site_fract_z
Sr1 Sr 0.000 0.000 0.000
Fe1 Fe 0.000 0.000 0.500
Fe2 Fe 0.000 0.500 0.000
Fe3 Fe 0.500 0.000 0.000
Fe4 Fe 0.500 0.500 0.500

3.
# SrFe2 | Alexandria via LeMat-Bulk | PBE | optimized geometry
# SG: Pnnm (58)
# Formation energy (eV/atom): 0.88
# V (Å³ per cell): 126.50
data_SrFe2
_symmetry_space_group_name_H-M 'P 1'
_symmetry_Int_Tables_number 1
_cell_length_a 2.952
_cell_length_b 7.707
_cell_length_c 5.559
_cell_angle_alpha 90.00
_cell_angle_beta 90.00
_cell_angle_gamma 90.00
loop_
_symmetry_equiv_pos_as_xyz
'x,y,z'
loop_
_atom_site_label
_atom_site_type_symbol
_atom_site_fract_x
_atom_site_fract_y
_atom_site_fract_z
Sr1 Sr 0.000 0.000 0.000
Sr2 Sr 0.500 0.500 0.500
Fe1 Fe 0.229 0.381 0.000
Fe2 Fe 0.271 0.881 0.500
Fe3 Fe 0.729 0.119 0.500
Fe4 Fe 0.771 0.619 0.000

4.
# Sr3Fe | Alexandria via LeMat-Bulk | PBE | optimized geometry
# SG: Immm (71)
# Formation energy (eV/atom): 0.47
# V (Å³ per cell): 160.12
data_Sr3Fe
_symmetry_space_group_name_H-M 'P 1'
_symmetry_Int_Tables_number 1
_cell_length_a 7.433
_cell_length_b 7.433
_cell_length_c 7.433
_cell_angle_alpha 148.79
_cell_angle_beta 130.64
_cell_angle_gamma 59.57
loop_
_symmetry_equiv_pos_as_xyz
'x,y,z'
loop_
_atom_site_label
_atom_site_type_symbol
_atom_site_fract_x
_atom_site_fract_y
_atom_site_fract_z
Sr1 Sr 0.000 0.000 0.000
Sr2 Sr 0.312 0.812 0.500
Sr3 Sr 0.688 0.188 0.500
Fe1 Fe 0.500 0.500 0.000

no.,magnetization (μB per atom)
1,1.524
2,2.104
3,1.728
4,0.627